The following is a DFT calculation (PBE) of an optimized crystal structure of BaHfMg6O8.

The calculation puts the uncorrected formation energy at -2.16 eV per atom.

The structure belongs to space group P4/mmm (No. 123); the cell edges are 4.754, 4.754 and 9.077 Å and the angles 90.00°, 90.00° and 90.00°. Symmetry generates all atoms from Ba at (0.000, 0.000, 0.000), Hf at (0.000, 0.000, 0.500), Mg at (0.000, 0.500, 0.256), Mg at (0.500, 0.500, 0.000), Mg at (0.500, 0.500, 0.500), O at (0.000, 0.000, 0.279), O at (0.000, 0.500, 0.000), O at (0.000, 0.500, 0.500) and O at (0.500, 0.500, 0.250).

=====

The following is a DFT calculation (PBE) of an optimized crystal structure of PrY6ErTm2.

The calculated formation energy comes out at 0.1221 eV per atom.

The structure belongs to space group C2/c (No. 15); the cell edges are 9.143, 14.901 and 9.673 Å and the angles 90.00°, 98.75° and 90.00°. Symmetry generates all atoms from Pr at (0.000, 0.095, 0.250), Y at (0.065, 0.318, 0.444), Y at (0.100, 0.105, 0.619), Y at (0.202, 0.275, 0.819), Er at (0.000, 0.475, 0.750) and Tm at (0.242, 0.450, 0.046).

=====

The following is a DFT calculation (PBE) of an optimized crystal structure of CuTcCl2.

The calculation puts the uncorrected formation energy at 0.19 eV per atom.

The structure belongs to space group P4mm (No. 99); the cell edges are 3.008, 3.008 and 7.785 Å and the angles 90.00°, 90.00° and 90.00°. Symmetry generates all atoms from Cu at (0.000, 0.000, 0.000), Tc at (0.500, 0.500, 0.225), Cl at (0.000, 0.000, 0.399) and Cl at (0.500, 0.500, 0.824).

=====

The following is a DFT calculation (PBE) of an optimized crystal structure of PrMgGa2Pt5.

The calculated formation energy comes out at -0.6844 eV per atom.

The structure belongs to space group P4/mmm (No. 123); the cell edges are 4.182, 4.182 and 9.482 Å and the angles 90.00°, 90.00° and 90.00°. Symmetry generates all atoms from Pr at (0.000, 0.000, 0.000), Mg at (0.000, 0.000, 0.500), Ga at (0.500, 0.500, 0.373), Pt at (0.000, 0.500, 0.233) and Pt at (0.500, 0.500, 0.000).

=====

Asked for DOS(E_F) across the records above, the calculation gives 1.94; 62.02; 2.22; 2.54 states/eV/cell in order.
Asked for magnetic moment across the records above, the calculation gives 0.000; 0.000; 0.000; 0.000 μB per atom in order.